# 1
The following is a GGA-PBE calculation of a relaxed LiTb2DyPd4 crystal, from Alexandria via LeMat-Bulk.

Cell and atoms, written as CIF:
```
data_LiTb2DyPd4
_chemical_formula_sum 'Li3 Tb6 Dy3 Pd12'
_cell_length_a 4.8907
_cell_length_b 4.8907
_cell_length_c 23.5823
_cell_angle_alpha 90.00
_cell_angle_beta 90.00
_cell_angle_gamma 120.00
_space_group_name_H-M_alt 'R -3 m'
_space_group_IT_number 166
_space_group_name_Hall '-R 3 2"'
loop_
_atom_site_label
_atom_site_fract_x
_atom_site_fract_y
_atom_site_fract_z
_atom_site_occupancy
Li1 0.0000 0.0000 0.0000 1
Tb1 0.0000 0.0000 0.2577 1
Dy1 0.0000 0.0000 0.5000 1
Pd1 0.0000 0.0000 0.1259 1
Pd2 0.0000 0.0000 0.3792 1
```

Summary:
**Density**: 9310 kg/m3
**Total magnetic moment**: 0.00 μB per cell
**Raw total energy**: -128.43 eV/cell


# 2
The following is a GGA-PBE calculation of a relaxed Pa2Sn3Pd4 crystal, from Alexandria via LeMat-Bulk.

Cell and atoms, written as CIF:
```
data_Pa2Sn3Pd4
_chemical_formula_sum 'Pa4 Sn6 Pd8'
_cell_length_a 8.430
_cell_length_b 4.785
_cell_length_c 9.384
_cell_angle_alpha 90.00
_cell_angle_beta 93.58
_cell_angle_gamma 90.00
_space_group_name_H-M_alt 'C 1 2/m 1'
_space_group_IT_number 12
loop_
_space_group_symop_operation_xyz
'x,y,z'
'-x,-y,-z'
'-x,y,-z'
'x,-y,z'
'x+1/2,y+1/2,z'
'-x+1/2,-y+1/2,-z'
'-x+1/2,y+1/2,-z'
'x+1/2,-y+1/2,z'
loop_
_atom_site_label
_atom_site_fract_x
_atom_site_fract_y
_atom_site_fract_z
_atom_site_occupancy
Pa1 0.183 0.000 0.227 1
Sn1 0.000 0.500 0.000 1
Sn2 0.142 0.000 0.601 1
Pd1 0.027 0.500 0.351 1
Pd2 0.159 0.000 0.927 1
```

Summary:
**Density**: 10935 kg/m3
**Total magnetic moment**: 0.00 μB per cell
**Raw total energy**: -112.18 eV/cell


# 3
The following is a GGA-PBE calculation of a relaxed NaNbOF2 crystal, from Alexandria via LeMat-Bulk.

Cell and atoms, written as CIF:
```
data_NaNbOF2
_chemical_formula_sum 'Na1 Nb1 O1 F2'
_cell_length_a 3.775
_cell_length_b 3.775
_cell_length_c 4.295
_cell_angle_alpha 90.00
_cell_angle_beta 90.00
_cell_angle_gamma 90.00
_space_group_name_H-M_alt 'P 4/m m m'
_space_group_IT_number 123
_space_group_name_Hall '-P 4 2'
loop_
_atom_site_label
_atom_site_fract_x
_atom_site_fract_y
_atom_site_fract_z
_atom_site_occupancy
Na1 0.000 0.000 0.000 1
Nb1 0.500 0.500 0.500 1
O1 0.000 0.000 0.500 1
F1 0.000 0.500 0.000 1
```

Summary:
**E_form (uncorrected)**: -1.07 eV/atom
**Density**: 4609 kg/m3
**Offset from the most stable computed form**: 1164 meV/atom
**Total magnetic moment**: 2.00 μB per cell


# 4
The following is a GGA-PBE calculation of a relaxed Ti3GaGe crystal, from Alexandria via LeMat-Bulk.

Cell and atoms, written as CIF:
```
data_Ti3GaGe
_chemical_formula_sum 'Ti3 Ga1 Ge1'
_cell_length_a 4.678
_cell_length_b 4.678
_cell_length_c 4.678
_cell_angle_alpha 90.00
_cell_angle_beta 90.00
_cell_angle_gamma 90.00
_space_group_name_H-M_alt 'P m -3 m'
_space_group_IT_number 221
_space_group_name_Hall '-P 4 2 3'
loop_
_atom_site_label
_atom_site_fract_x
_atom_site_fract_y
_atom_site_fract_z
_atom_site_occupancy
Ti1 0.000 0.000 0.500 1
Ga1 0.500 0.500 0.500 1
Ge1 0.000 0.000 0.000 1
```

Summary:
**Density**: 4638 kg/m3
**Offset from the most stable computed form**: 551 meV/atom
**Total magnetic moment**: 0.00 μB per cell


# 5
The following is a GGA-PBE calculation of a relaxed CdBPO2 crystal, from Alexandria via LeMat-Bulk.

Cell and atoms, written as CIF:
```
data_CdBPO2
_chemical_formula_sum 'Cd1 B1 P1 O2'
_cell_length_a 3.972
_cell_length_b 3.972
_cell_length_c 5.429
_cell_angle_alpha 90.00
_cell_angle_beta 90.00
_cell_angle_gamma 90.00
_space_group_name_H-M_alt 'P 4/m m m'
_space_group_IT_number 123
_space_group_name_Hall '-P 4 2'
loop_
_atom_site_label
_atom_site_fract_x
_atom_site_fract_y
_atom_site_fract_z
_atom_site_occupancy
Cd1 0.000 0.000 0.000 1
B1 0.500 0.500 0.500 1
P1 0.000 0.000 0.500 1
O1 0.000 0.500 0.000 1
```

Summary:
**E_form (uncorrected)**: 1.40 eV/atom
**Density**: 3610 kg/m3
**Offset from the most stable computed form**: 1231 meV/atom
**Total magnetic moment**: 0.00 μB per cell


# 6
The following is a GGA-PBE calculation of a relaxed Th2Te3I crystal, from Alexandria via LeMat-Bulk.

Cell and atoms, written as CIF:
```
data_Th2Te3I
_chemical_formula_sum 'Th12 Te18 I6'
_cell_length_a 8.5494
_cell_length_b 8.5494
_cell_length_c 20.7919
_cell_angle_alpha 90.00
_cell_angle_beta 90.00
_cell_angle_gamma 120.00
_space_group_name_H-M_alt 'R -3 c'
_space_group_IT_number 167
_space_group_name_Hall '-R 3 2"c'
loop_
_atom_site_label
_atom_site_fract_x
_atom_site_fract_y
_atom_site_fract_z
_atom_site_occupancy
Th1 0.0000 0.0000 0.1460 1
Te1 0.0000 0.2728 0.2500 1
I1 0.0000 0.0000 0.0000 1
```

Summary:
**E_form (uncorrected)**: -0.90 eV/atom
**Density**: 7372 kg/m3
**Total magnetic moment**: 0.02 μB per cell


# 7
The following is a GGA-PBE calculation of a relaxed KFeIN2 crystal, from Alexandria via LeMat-Bulk.

Cell and atoms, written as CIF:
```
data_KFeIN2
_chemical_formula_sum 'K1 Fe1 I1 N2'
_cell_length_a 3.997
_cell_length_b 3.997
_cell_length_c 5.545
_cell_angle_alpha 90.00
_cell_angle_beta 90.00
_cell_angle_gamma 90.00
_space_group_name_H-M_alt 'P 4/m m m'
_space_group_IT_number 123
_space_group_name_Hall '-P 4 2'
loop_
_atom_site_label
_atom_site_fract_x
_atom_site_fract_y
_atom_site_fract_z
_atom_site_occupancy
K1 0.000 0.000 0.000 1
Fe1 0.500 0.500 0.500 1
I1 0.500 0.500 0.000 1
N1 0.000 0.500 0.500 1
```

Summary:
**E_form (uncorrected)**: 0.93 eV/atom
**Density**: 4684 kg/m3
**Offset from the most stable computed form**: 0 meV/atom
**Total magnetic moment**: 0.56 μB per cell


# 8
The following is a GGA-PBE calculation of a relaxed YHf2In crystal, from Alexandria via LeMat-Bulk.

Cell and atoms, written as CIF:
```
data_YHf2In
_chemical_formula_sum 'Y3 Hf6 In3'
_cell_length_a 3.1489
_cell_length_b 3.1489
_cell_length_c 34.7128
_cell_angle_alpha 90.00
_cell_angle_beta 90.00
_cell_angle_gamma 120.00
_space_group_name_H-M_alt 'R -3 m'
_space_group_IT_number 166
_space_group_name_Hall '-R 3 2"'
loop_
_atom_site_label
_atom_site_fract_x
_atom_site_fract_y
_atom_site_fract_z
_atom_site_occupancy
Y1 0.0000 0.0000 0.0000 1
Hf1 0.0000 0.0000 0.0921 1
In1 0.0000 0.0000 0.5000 1
```

Summary:
**Density**: 9371 kg/m3
**Total magnetic moment**: 0.00 μB per cell
**Raw total energy**: -83.71 eV/cell


Repeat the seventh record exactly.
The following is a GGA-PBE calculation of a relaxed KFeIN2 crystal, from Alexandria via LeMat-Bulk.

Cell and atoms, written as CIF:
```
data_KFeIN2
_chemical_formula_sum 'K1 Fe1 I1 N2'
_cell_length_a 3.997
_cell_length_b 3.997
_cell_length_c 5.545
_cell_angle_alpha 90.00
_cell_angle_beta 90.00
_cell_angle_gamma 90.00
_space_group_name_H-M_alt 'P 4/m m m'
_space_group_IT_number 123
_space_group_name_Hall '-P 4 2'
loop_
_atom_site_label
_atom_site_fract_x
_atom_site_fract_y
_atom_site_fract_z
_atom_site_occupancy
K1 0.000 0.000 0.000 1
Fe1 0.500 0.500 0.500 1
I1 0.500 0.500 0.000 1
N1 0.000 0.500 0.500 1
```

Summary:
**E_form (uncorrected)**: 0.93 eV/atom
**Density**: 4684 kg/m3
**Offset from the most stable computed form**: 0 meV/atom
**Total magnetic moment**: 0.56 μB per cell


Question: Which of these has the lowest density?
Answer: CdBPO2


What did the sixth record say?
The following is a GGA-PBE calculation of a relaxed Th2Te3I crystal, from Alexandria via LeMat-Bulk.

Cell and atoms, written as CIF:
```
data_Th2Te3I
_chemical_formula_sum 'Th12 Te18 I6'
_cell_length_a 8.5494
_cell_length_b 8.5494
_cell_length_c 20.7919
_cell_angle_alpha 90.00
_cell_angle_beta 90.00
_cell_angle_gamma 120.00
_space_group_name_H-M_alt 'R -3 c'
_space_group_IT_number 167
_space_group_name_Hall '-R 3 2"c'
loop_
_atom_site_label
_atom_site_fract_x
_atom_site_fract_y
_atom_site_fract_z
_atom_site_occupancy
Th1 0.0000 0.0000 0.1460 1
Te1 0.0000 0.2728 0.2500 1
I1 0.0000 0.0000 0.0000 1
```

Summary:
**E_form (uncorrected)**: -0.90 eV/atom
**Density**: 7372 kg/m3
**Total magnetic moment**: 0.02 μB per cell